(1)
Compound: Pr2Er2In7
Source: the Alexandria database
Functional: PBE-GGA
Structure: optimized geometry

Results
* energy of formation: 3.0 meV/atom
* Fermi-level density of states: 0.6313 states/eV/atom

Cell and atoms, written as POSCAR:
```
Pr2Er2In7
1.0
5.1536 -5.7376 0.0000
5.1536 5.7376 0.0000
0.0000 0.0000 6.0787
Pr Er In
2 2 7
Cartesian
2.0252 0.0000 0.0000
8.2820 0.0000 0.0000
5.1536 2.6655 3.0394
5.1536 -2.6655 3.0394
0.0000 0.0000 3.0394
2.5768 2.8688 1.4551
2.5768 2.8688 4.6236
2.5768 -2.8688 1.4551
2.5768 -2.8688 4.6236
5.1536 0.0000 1.4496
5.1536 0.0000 4.6292
```


(2)
Compound: Pr2Er4In
Source: the Alexandria database
Functional: PBE-GGA
Structure: optimized geometry

Results
* energy of formation: 278.0 meV/atom
* E above lowest polymorph: 278 meV/atom
* Fermi-level density of states: 1.3392 states/eV/atom

Cell and atoms, written as POSCAR:
```
Pr2Er4In
1.0
-4.0717 4.0717 3.3625
4.0717 -4.0717 3.3625
4.0717 4.0717 -3.3625
Pr Er In
2 4 1
Cartesian
4.0717 0.0000 1.6812
0.0000 4.0717 1.6812
2.3924 -2.3924 2.8301
1.6794 1.6794 0.5324
-2.3924 2.3924 2.8301
2.3924 2.3924 3.8949
0.0000 0.0000 3.3625
```


> What is the formula in the second record?

Pr2Er4In